VASP calculation (GGA-PBE) on Be2InSb after structural relaxation.

Calculated values
E_tot (Ry/atom): -0.217
Volume (Å³/cell): 73.5
Distance to the lowest polymorph of the same formula (meV/atom): 364
Total magnetization (μB/f.u.): 0.000

Cell lengths 3.712, 3.824, 5.178 Å; angles 90.00, 90.00, 90.00 degrees
Fractional positions:
Be 0.000 0.000 0.000
Be 0.000 0.500 0.500
In 0.500 0.000 0.500
Sb 0.500 0.500 0.000